(1)
# K2OsW

An optimized crystal structure of K2OsW (PBE, Alexandria).

Values from the calculation:
energy above the lowest structure with this stoichiometry: 0.609 eV per atom

The structure in extended XYZ format:
```
4
Lattice="1.405 0.811 12.104 -1.405 0.811 12.104 0.000 -1.622 12.104" Properties=species:S:1:pos:R:3 pbc="T T T"
K 0.000 0.000 8.928
K 0.000 0.000 27.385
Os 0.000 0.000 18.156
W 0.000 0.000 0.000
```

(2)
# CaTl2SnSb2

An optimized crystal structure of CaTl2SnSb2 (PBE, Alexandria).

Values from the calculation:
E_form (uncorrected): -270 meV/atom

The structure in extended XYZ format:
```
12
Lattice="5.323 0.000 0.000 0.000 9.848 0.000 0.000 0.000 7.197" Properties=species:S:1:pos:R:3 pbc="T T T"
Ca 0.000 0.353 0.000
Ca 0.000 9.495 3.599
Tl 0.000 3.431 2.171
Tl 0.000 6.417 5.770
Tl 2.661 4.360 0.153
Tl 2.661 5.488 3.752
Sn 2.661 1.763 4.873
Sn 2.661 8.085 1.274
Sb 0.000 3.040 5.434
Sb 0.000 6.808 1.835
Sb 2.661 1.198 1.868
Sb 2.661 8.650 5.467
```

(3)
# LaOsSe2

An optimized crystal structure of LaOsSe2 (PBE, Alexandria).

Values from the calculation:
energy above the lowest structure with this stoichiometry: 0.000 eV per atom
E_form (uncorrected): -701 meV/atom

The structure in extended XYZ format:
```
4
Lattice="-1.993 2.837 3.865 1.993 -2.837 3.865 1.993 2.837 -3.865" Properties=species:S:1:pos:R:3 pbc="T T T"
La 0.000 0.000 0.000
Os 0.000 0.000 3.865
Se 1.993 0.000 2.376
Se 0.000 2.837 1.490
```

(4)
# BeAsPt

An optimized crystal structure of BeAsPt (PBE, Alexandria).

Values from the calculation:
energy above the lowest structure with this stoichiometry: 0.142 eV per atom

The structure in extended XYZ format:
```
3
Lattice="0.000 2.806 2.806 2.806 0.000 2.806 2.806 2.806 0.000" Properties=species:S:1:pos:R:3 pbc="T T T"
Be 0.000 0.000 0.000
As 1.403 1.403 1.403
Pt 4.210 4.210 4.210
```

(5)
# TiAl2Pd

An optimized crystal structure of TiAl2Pd (PBE, Alexandria).

The structure in extended XYZ format:
```
4
Lattice="2.937 0.000 0.000 0.000 2.937 0.000 0.000 0.000 7.132" Properties=species:S:1:pos:R:3 pbc="T T T"
Ti 0.000 0.000 0.000
Al 1.468 1.468 1.916
Al 1.468 1.468 5.216
Pd 0.000 0.000 3.566
```

(6)
# In4SiP

An optimized crystal structure of In4SiP (PBE, Alexandria).

Values from the calculation:
E_form (uncorrected): 681 meV/atom

The structure in extended XYZ format:
```
6
Lattice="0.000 4.241 4.241 4.241 0.000 4.241 4.241 4.241 0.000" Properties=species:S:1:pos:R:3 pbc="T T T"
In 1.060 1.060 1.060
In 3.181 3.181 1.060
In 3.181 1.060 3.181
In 1.060 3.181 3.181
Si 4.241 4.241 4.241
P 6.362 6.362 6.362
```

(7)
# SmHo2Bi3

An optimized crystal structure of SmHo2Bi3 (PBE, Alexandria).

The structure in extended XYZ format:
```
6
Lattice="-2.247 3.178 6.741 2.247 -3.178 6.741 2.247 3.178 -6.741" Properties=species:S:1:pos:R:3 pbc="T T T"
Sm 0.000 0.000 0.000
Ho 0.000 0.000 4.510
Ho 0.000 0.000 8.973
Bi 2.247 0.000 2.296
Bi 0.000 3.178 0.000
Bi 0.000 3.178 4.445
```

(8)
# Tl2PW

An optimized crystal structure of Tl2PW (PBE, Alexandria).

Values from the calculation:
energy above the lowest structure with this stoichiometry: 0.933 eV per atom

The structure in extended XYZ format:
```
4
Lattice="-2.008 2.008 5.118 2.008 -2.008 5.118 2.008 2.008 -5.118" Properties=species:S:1:pos:R:3 pbc="T T T"
Tl 2.008 0.000 2.559
Tl 0.000 2.008 2.559
P 0.000 0.000 0.000
W 0.000 0.000 5.118
```

(9)
# SrLiH3

An optimized crystal structure of SrLiH3 (PBE, Alexandria).

Values from the calculation:
energy above the lowest structure with this stoichiometry: 0.150 eV per atom

The structure in extended XYZ format:
```
10
Lattice="2.871 1.657 5.791 -2.871 1.657 5.791 0.000 -3.315 5.791" Properties=species:S:1:pos:R:3 pbc="T T T"
Sr 0.000 0.000 0.000
Sr 0.000 0.000 8.686
Li 0.000 0.000 4.343
Li 0.000 0.000 13.030
H -1.974 -0.105 7.239
H -0.897 -1.762 10.134
H 1.078 -1.657 7.239
H -1.078 1.657 10.134
H 0.897 1.762 7.239
H 1.974 0.105 10.134
```

(10)
# LiGaOF2

An optimized crystal structure of LiGaOF2 (PBE, Alexandria).

Values from the calculation:
energy above the lowest structure with this stoichiometry: 0.000 eV per atom
E_form (uncorrected): -2175 meV/atom

The structure in extended XYZ format:
```
5
Lattice="4.023 0.000 0.000 0.000 4.023 0.000 0.000 0.000 3.626" Properties=species:S:1:pos:R:3 pbc="T T T"
Li 0.000 0.000 0.000
Ga 2.011 2.011 1.813
O 2.011 2.011 0.000
F 0.000 2.011 1.813
F 2.011 0.000 1.813
```

(11)
# CoAu2

An optimized crystal structure of CoAu2 (PBE, Alexandria).

The structure in extended XYZ format:
```
3
Lattice="-1.422 1.422 5.893 1.422 -1.422 5.893 1.422 1.422 -5.893" Properties=species:S:1:pos:R:3 pbc="T T T"
Co 0.000 0.000 0.000
Au 0.000 0.000 4.072
Au 0.000 0.000 7.713
```

(12)
# KTe2I4

An optimized crystal structure of KTe2I4 (PBE, Alexandria).

Values from the calculation:
E_form (uncorrected): -417 meV/atom

The structure in extended XYZ format:
```
14
Lattice="0.000 7.868 8.283 5.292 0.000 8.283 5.292 7.868 0.000" Properties=species:S:1:pos:R:3 pbc="T T T"
K 0.000 0.000 0.000
K 2.646 3.934 4.142
Te 6.601 6.871 4.633
Te 3.982 8.864 4.633
Te 6.601 8.864 11.934
Te 3.982 6.871 11.934
I 7.160 9.083 6.524
I 7.160 6.652 10.043
I 9.990 10.586 10.648
I 3.424 6.652 6.524
I 9.990 13.017 14.202
I 3.424 9.083 10.043
I 5.885 13.017 10.648
I 5.885 10.586 14.202
```

Computed values of uncorrected energy (unit: eV per atom) for the preceding records, in sequence: -5.170 -3.433 -6.482 -4.974 -5.799 -2.950 -5.116 -4.625 -3.108 -4.904 -4.366 -2.357.
Computed values of DOS(E_F) (unit: states/eV/cell) for the preceding records, in sequence: 2.35 4.04 2.08 1.21 1.97 4.03 1.30 3.72 0.00 0.00 3.66 7.23.